Here is an optimized crystal structure of Pr4DyTm15 from Alexandria. Energies are from PBE-GGA.

The electronic total energy comes out at -4.51 eV/atom. As for the density of states at the Fermi level: 28.89 states/eV/cell. For the total magnetization, the calculation gives 0.0 μB per cell.

The space group is P4/mmm (No. 123) and the conventional cell measures 5.0083, 5.0083 and 24.9161 Å, with angles of 90.00, 90.00 and 90.00 degrees. The inequivalent atoms are Pr at (0.0000, 0.0000, 0.1006), Pr at (0.0000, 0.0000, 0.3008), Dy at (0.0000, 0.0000, 0.5000), Tm at (0.0000, 0.5000, 0.0000), Tm at (0.0000, 0.5000, 0.2009), Tm at (0.0000, 0.5000, 0.4019), Tm at (0.5000, 0.5000, 0.1003), Tm at (0.5000, 0.5000, 0.3015) and Tm at (0.5000, 0.5000, 0.5000).